(1)
Here is VSn3P after structural relaxation from the Alexandria database. Energies are from PBE-GGA.

Its space-group type is Pm-3m, No. 221. The magnetization is 3.5 Bohr magnetons per cell. For the energy above the lowest structure with this stoichiometry, the calculation gives 169.2 meV/atom.

CIF file:
```
data_VSn3P
_space_group_name_H-M_alt 'P 1'
_space_group_IT_number 1
_cell_length_a 5.1587
_cell_length_b 5.1587
_cell_length_c 5.1587
_cell_angle_alpha 90.00
_cell_angle_beta 90.00
_cell_angle_gamma 90.00
loop_
_space_group_symop_operation_xyz
'x,y,z'
loop_
_atom_site_label
_atom_site_fract_x
_atom_site_fract_y
_atom_site_fract_z
_atom_site_occupancy
V1 0.0000 0.0000 0.0000 1
Sn1 0.0000 0.5000 0.5000 1
Sn2 0.5000 0.0000 0.5000 1
Sn3 0.5000 0.5000 0.0000 1
P1 0.5000 0.5000 0.5000 1
```

(2)
Here is CdGaGe3 after structural relaxation from the Alexandria database. Energies are from PBE-GGA.

Its space-group type is Pm-3m, No. 221. The magnetization is 0.0 Bohr magnetons per cell. For the energy above the lowest structure with this stoichiometry, the calculation gives 0.0 meV/atom.

CIF file:
```
data_CdGaGe3
_space_group_name_H-M_alt 'P 1'
_space_group_IT_number 1
_cell_length_a 4.9683
_cell_length_b 4.9683
_cell_length_c 4.9683
_cell_angle_alpha 90.00
_cell_angle_beta 90.00
_cell_angle_gamma 90.00
loop_
_space_group_symop_operation_xyz
'x,y,z'
loop_
_atom_site_label
_atom_site_fract_x
_atom_site_fract_y
_atom_site_fract_z
_atom_site_occupancy
Cd1 0.0000 0.0000 0.0000 1
Ga1 0.5000 0.5000 0.5000 1
Ge1 0.0000 0.5000 0.5000 1
Ge2 0.5000 0.0000 0.5000 1
Ge3 0.5000 0.5000 0.0000 1
```

Number 1: ΔH_f (0 K) 820 meV per atom, Fermi-level density of states 8.76 states/eV per cell, calculated total energy -4.4877 eV/atom. Number 2: ΔH_f (0 K) 579 meV per atom, Fermi-level density of states 3.03 states/eV per cell, calculated total energy -2.9795 eV/atom.